! VO2F (PBE with a Hubbard U, relaxed); values from VASP
! Total energy (eV per cell): -162.79
! M_tot (μB/f.u.): 0.00
&SYSTEM
  ibrav = 0, nat = 24, ntyp = 3
/
ATOMIC_SPECIES
V 50.94 V.upf
O 16.00 O.upf
F 19.00 F.upf
ATOMIC_POSITIONS angstrom
V 2.694 7.672 1.089
V 2.756 4.019 1.530
V 0.019 11.917 2.736
V 0.098 8.300 3.406
V -2.627 11.350 0.134
V 0.083 4.613 4.201
O -0.325 3.079 4.747
O 3.722 4.090 0.179
O 2.869 2.418 2.006
O 2.327 6.061 1.370
O 1.352 12.221 3.679
O 1.361 8.422 2.238
O 1.108 0.523 1.399
O 1.403 4.364 3.230
O 0.194 6.710 3.889
O -0.377 10.327 3.092
O -1.298 8.005 2.111
O 2.796 9.642 0.343
F 4.099 4.697 2.783
F 1.046 3.830 0.618
F 1.493 1.297 3.993
F 0.980 11.442 1.098
F 1.064 9.002 4.883
F -1.586 8.610 4.700
CELL_PARAMETERS angstrom
5.312 -0.048 0.023
-2.767 11.444 -0.058
0.013 1.251 5.212